Computed, not measured: a relaxed Sc3VF crystal at the PBE with a Hubbard U level of DFT.

a = 4.5426 Å, b = 4.5426 Å, c = 4.5426 Å
α = 90.00°, β = 90.00°, γ = 90.00°
Closest atoms and distances in Å follow each position.
Space group Pm-3m (No. 221)
Symmetry-distinct sites (fractional):
Sc  0.0000  0.0000  0.5000 (multiplicity 3)  2 F 2.27
V  0.5000  0.5000  0.5000 (multiplicity 1)  12 Sc 3.21
F  0.0000  0.0000  0.0000 (multiplicity 1)  6 Sc 2.27

- Fermi-level density of states: 4.248 states/eV/cell
- Calculated total energy: -6.236 eV per atom
- M_tot: 0.2972 μB/atom